Entry 1:
{
  "formula": "RbCu2BiCl6",
  "functional": "PBE-GGA",
  "state": "optimized geometry",
  "total_energy_ev_per_atom": -3.386,
  "e_form_raw_ev_per_atom": -0.97,
  "spacegroup": "No. 1",
  "cell": [[7.058, 0.003, -0.006], [-3.527, 6.110, -0.002], [-3.532, -2.041, 7.342]],
  "species": ["Cl", "Cl", "Cl", "Cl", "Cl", "Cl", "Cu", "Cu", "Rb", "Bi"],
  "fractional_positions": [[0.441, 0.034, 0.199], [0.808, 0.773, 0.198], [0.184, 0.222, 0.761], [0.181, 0.405, 0.200], [0.553, 0.962, 0.762], [0.815, 0.590, 0.762], [0.466, 0.732, 0.184], [0.526, 0.263, 0.776], [0.997, 0.498, 0.480], [0.997, 0.998, 0.980]]
}

Entry 2:
{
  "formula": "LiY2Se",
  "functional": "PBE-GGA",
  "state": "optimized geometry",
  "total_energy_ev_per_atom": -5.070,
  "e_form_raw_ev_per_atom": -0.49,
  "spacegroup": "No. 139",
  "cell": [[-0.771, 4.481, 3.129], [-5.359, 1.302, -0.219], [2.498, -4.791, 1.126]],
  "species": ["Y", "Y", "Se", "Li"],
  "fractional_positions": [[0.000, 0.000, 0.000], [0.500, 0.500, 0.000], [0.750, 0.250, 0.500], [0.250, 0.750, 0.500]]
}

Entry 3:
{
  "formula": "CeTh2Co",
  "functional": "PBE-GGA",
  "state": "optimized geometry",
  "total_energy_ev_per_atom": -7.001,
  "e_above_lowest_polymorph_mev_per_atom": 135.8,
  "spacegroup": "No. 123",
  "cell": [[-1.336, 0.556, -3.250], [3.122, -0.914, -1.440], [-2.344, -7.500, -0.320]],
  "species": ["Th", "Th", "Co", "Ce"],
  "fractional_positions": [[0.000, 0.000, 0.792], [0.000, 0.000, 0.208], [0.500, 0.500, 0.000], [0.500, 0.500, 0.500]]
}

Entry 4:
{
  "formula": "MgRu2",
  "functional": "PBE-GGA",
  "state": "optimized geometry",
  "total_energy_ev_per_atom": -6.440,
  "spacegroup": "No. 189",
  "cell": [[4.201, 3.455, 5.116], [-7.446, 0.430, 0.374], [-0.052, -2.250, 1.562]],
  "species": ["Mg", "Mg", "Mg", "Ru", "Ru", "Ru", "Ru", "Ru", "Ru"],
  "fractional_positions": [[0.333, 0.667, 0.500], [0.667, 0.333, 0.500], [0.000, 0.000, 0.000], [0.351, 0.351, 0.000], [0.000, 0.317, 0.500], [0.317, 0.000, 0.500], [0.000, 0.649, 0.000], [0.683, 0.683, 0.500], [0.649, 0.000, 0.000]]
}

Entry 5:
{
  "formula": "YMnIrSe2",
  "functional": "PBE-GGA",
  "state": "optimized geometry",
  "total_energy_ev_per_atom": -5.865,
  "e_form_raw_ev_per_atom": 0.43,
  "spacegroup": "No. 123",
  "cell": [[-4.188, -1.112, 1.129], [-0.355, -2.968, -4.241], [1.555, -3.500, 2.319]],
  "species": ["Se", "Se", "Y", "Mn", "Ir"],
  "fractional_positions": [[0.000, 0.000, 0.500], [0.500, 0.000, 0.000], [0.000, 0.500, 0.000], [0.000, 0.000, 0.000], [0.500, 0.500, 0.500]]
}

Entry 6:
{
  "formula": "Rb2BRuCl6",
  "functional": "PBE-GGA",
  "state": "optimized geometry",
  "total_energy_ev_per_atom": -3.589,
  "e_form_raw_ev_per_atom": -0.69,
  "spacegroup": "No. 139",
  "cell": [[7.033, 0.000, 0.000], [0.000, 7.033, 0.000], [3.516, 3.516, 4.946]],
  "species": ["Cl", "Cl", "Cl", "Cl", "Cl", "Cl", "Rb", "Rb", "B", "Ru"],
  "fractional_positions": [[0.756, 0.756, 0.488], [0.758, 0.242, 0.000], [0.244, 0.244, 0.512], [0.242, 0.758, 0.000], [0.242, 0.242, 0.000], [0.758, 0.758, 0.000], [0.250, 0.750, 0.500], [0.750, 0.250, 0.500], [0.500, 0.500, 0.000], [0.000, 0.000, 0.000]]
}